DFT (PBE-GGA) results for Ir2PtSe after structural relaxation.

Cell: 2.849 2.849 7.792 Å, 90.00 90.00 90.00°
Sites, in units of the cell vectors:
Ir: 0.000 0.000 0.000
Ir: 0.500 0.500 0.236
Pt: 0.000 0.000 0.483
Se: 0.500 0.500 0.768

Summary:
Its symmetry is P4mm. The uncorrected formation energy is 1.26 eV/f.u.